[1]
37
Lattice="-6.296 1.910 3.620 6.616 2.670 2.331 0.714 9.582 -8.968" Properties=species:S:1:pos:R:3 comment="Tm4Al24Pt9 | the Alexandria database | GGA-PBE | relaxed" volume_a3_per_fu=630 total_energy_ha_per_atom=-0.1943 formation_energy_ev_per_atom=-0.908 pbc="T T T"
Al -1.263 10.408 -6.329
Al -3.981 9.980 -3.696
Al -0.345 8.297 1.551
Al -0.403 4.095 -1.601
Al 1.436 10.066 -1.415
Al -0.615 7.996 -1.364
Al 6.269 10.577 -4.717
Al -5.235 3.584 1.701
Al 2.297 3.754 3.313
Al 1.874 6.545 1.236
Al -2.654 5.908 -1.228
Al 1.379 5.864 -4.567
Al 1.086 9.396 -5.336
Al -2.025 3.499 3.743
Al -0.012 1.259 0.627
Al 3.688 8.254 -1.788
Al 5.015 4.181 0.680
Al 3.389 7.870 -4.673
Al 3.059 10.662 -6.760
Al 1.046 12.902 -3.643
Al -0.052 4.765 2.320
Al 1.649 6.165 -1.652
Al -2.355 6.291 1.657
Al -0.840 7.616 -4.252
Pt -4.081 2.042 3.398
Pt 1.377 8.223 -3.138
Pt 5.623 8.397 -3.627
Pt 0.160 2.290 2.976
Pt -0.343 5.938 0.122
Pt -4.589 5.764 0.611
Pt -2.873 7.913 -2.792
Pt 3.907 6.248 -0.224
Pt 5.114 12.119 -6.414
Tm -0.942 10.553 -3.303
Tm -2.291 3.355 0.711
Tm 1.976 3.609 0.287
Tm 3.325 10.806 -3.727

[2]
28
Lattice="-1.476 3.982 -0.231 -6.237 -2.287 0.436 0.732 1.262 17.086" Properties=species:S:1:pos:R:3 comment="TmAl4Pt2 | the Alexandria database | GGA-PBE | relaxed" volume_a3_per_fu=121 total_energy_ha_per_atom=-0.2011 formation_energy_ev_per_atom=-0.969 pbc="T T T"
Al -2.931 2.629 5.327
Al 0.247 2.147 15.863
Al -5.473 1.690 5.396
Al -3.875 2.536 9.762
Al -1.508 1.266 11.895
Al -4.459 2.716 16.596
Al -5.405 -0.666 3.490
Al -4.049 0.328 11.964
Al -1.576 3.623 13.801
Al -3.106 0.421 7.529
Al -6.064 1.631 8.140
Al -0.917 1.326 9.151
Al -5.280 2.258 13.951
Al -1.700 0.699 3.340
Al -7.228 0.810 1.428
Al -2.522 0.241 0.695
Tm -2.730 0.983 14.833
Tm -6.747 1.555 11.201
Tm -4.251 1.973 2.458
Tm -0.234 1.402 6.090
Pt -1.999 3.614 16.353
Pt -1.169 3.178 3.525
Pt -5.811 -0.221 13.766
Pt -2.293 3.009 7.805
Pt -4.688 -0.053 9.486
Pt -3.482 2.827 12.256
Pt -4.982 -0.657 0.938
Pt -3.499 0.130 5.036

[3]
11
Lattice="5.266 0.080 -0.867 -1.785 7.069 -3.034 0.123 -0.140 7.895" Properties=species:S:1:pos:R:3 comment="Tm8AlPt2 | the Alexandria database | GGA-PBE | relaxed" volume_a3_per_fu=293 total_energy_ha_per_atom=-0.1907 formation_energy_ev_per_atom=-0.500 pbc="T T T"
Pt 1.430 4.914 -0.091
Pt 2.165 2.139 4.116
Tm 1.115 4.680 4.895
Tm 3.223 4.356 2.310
Tm 0.638 6.482 2.162
Tm 3.933 5.442 -1.270
Tm 0.371 2.699 1.716
Tm 2.954 0.569 1.862
Tm 2.476 2.371 -0.871
Tm 4.928 1.686 4.424
Al -0.003 0.023 0.015

[4]
18
Lattice="4.042 0.000 0.000 -2.021 6.480 0.000 0.000 0.000 12.382" Properties=species:S:1:pos:R:3 comment="TmAl5Pt3 | the Alexandria database | GGA-PBE | relaxed" volume_a3_per_fu=162 total_energy_ha_per_atom=-0.2014 formation_energy_ev_per_atom=-0.891 pbc="T T T"
Al 0.000 0.000 0.000
Al 2.021 0.874 7.997
Al 2.021 3.884 5.463
Al 0.000 5.605 1.806
Al 0.000 2.596 11.654
Al 2.021 0.874 10.576
Al 0.000 2.596 6.919
Al 0.000 5.605 4.385
Al 0.000 0.000 6.191
Al 2.021 3.884 0.728
Tm 2.021 4.766 9.286
Tm 0.000 1.713 3.095
Pt 2.021 1.435 0.700
Pt 0.000 5.045 11.682
Pt 0.000 1.697 9.286
Pt 2.021 4.782 3.095
Pt 2.021 1.435 5.491
Pt 0.000 5.045 6.891